TbCeDy2In4 | GGA-PBE | optimized geometry

Cell: 9.3165 9.3165 9.3165 Å, 33.39 33.39 33.39°
Element x y z (fractional)
Tb 0.0000 0.0000 0.0000
Ce 0.5000 0.5000 0.5000
Dy 0.2504 0.2504 0.2504
Dy 0.7496 0.7496 0.7496
In 0.1238 0.1238 0.1238
In 0.3739 0.3739 0.3739
In 0.6261 0.6261 0.6261
In 0.8762 0.8762 0.8762

The space group is R-3m (166). For the formation energy, the calculation gives -42 kJ/mol of atoms.

LaHSe | GGA-PBE | optimized geometry

Cell: 8.6453 8.6453 8.6453 Å, 27.18 27.18 27.18°
Element x y z (fractional)
La 0.0000 0.0000 0.0000
La 0.1651 0.1651 0.1651
H 0.3356 0.3356 0.3356
H 0.4812 0.4812 0.4812
Se 0.5864 0.5864 0.5864
Se 0.7503 0.7503 0.7503

The space group is R3m (160). Its uncorrected energy is -32.0 eV/cell.

Please write out number 2 again, unchanged.
LaHSe | GGA-PBE | optimized geometry

Cell: 8.6453 8.6453 8.6453 Å, 27.18 27.18 27.18°
Element x y z (fractional)
La 0.0000 0.0000 0.0000
La 0.1651 0.1651 0.1651
H 0.3356 0.3356 0.3356
H 0.4812 0.4812 0.4812
Se 0.5864 0.5864 0.5864
Se 0.7503 0.7503 0.7503

The space group is R3m (160). Its uncorrected energy is -32.0 eV/cell.